[1]
# PBE LiSi4, relaxed
# Space-group type: Im-3m, No. 229
# Formation energy from raw total energies: 0.398 eV/atom
# Raw total energy: -4.323 eV/atom
# Energy above the most stable polymorph in this dataset: 0.000 eV/f.u.
# Total magnetic moment: 0.000 μB per formula unit
data_LiSi4
_symmetry_space_group_name_H-M 'P 1'
_symmetry_Int_Tables_number 1
_cell_length_a 4.645
_cell_length_b 4.645
_cell_length_c 4.645
_cell_angle_alpha 109.47
_cell_angle_beta 109.47
_cell_angle_gamma 109.47
loop_
_symmetry_equiv_pos_as_xyz
'x,y,z'
loop_
_atom_site_label
_atom_site_type_symbol
_atom_site_fract_x
_atom_site_fract_y
_atom_site_fract_z
Li1 Li 0.000 0.000 0.000
Si1 Si 0.000 0.000 0.500
Si2 Si 0.000 0.500 0.000
Si3 Si 0.500 0.000 0.000
Si4 Si 0.500 0.500 0.500

***

[2]
# PBE SmGe4Rh6, relaxed
# Space-group type: P-6m2, No. 187
# Calculated formation energy: -0.752 eV/atom
# Raw total energy: -6.869 eV/atom
# Total magnetic moment: 0.000 μB per formula unit
data_SmGe4Rh6
_symmetry_space_group_name_H-M 'P 1'
_symmetry_Int_Tables_number 1
_cell_length_a 7.227
_cell_length_b 7.227
_cell_length_c 3.865
_cell_angle_alpha 90.00
_cell_angle_beta 90.00
_cell_angle_gamma 120.00
loop_
_symmetry_equiv_pos_as_xyz
'x,y,z'
loop_
_atom_site_label
_atom_site_type_symbol
_atom_site_fract_x
_atom_site_fract_y
_atom_site_fract_z
Sm1 Sm 0.000 0.000 0.000
Ge1 Ge 0.333 0.667 0.000
Ge2 Ge 0.395 0.197 0.500
Ge3 Ge 0.803 0.197 0.500
Ge4 Ge 0.803 0.605 0.500
Rh1 Rh 0.199 0.399 0.500
Rh2 Rh 0.199 0.801 0.500
Rh3 Rh 0.533 0.067 0.000
Rh4 Rh 0.533 0.467 0.000
Rh5 Rh 0.601 0.801 0.500
Rh6 Rh 0.933 0.467 0.000

***

[3]
# PBE LaGa2NiRu, relaxed
# Space-group type: I-4m2, No. 119
# Calculated formation energy: -0.513 eV/atom
# Raw total energy: -5.720 eV/atom
# Total magnetic moment: 0.000 μB per formula unit
data_LaGa2NiRu
_symmetry_space_group_name_H-M 'P 1'
_symmetry_Int_Tables_number 1
_cell_length_a 5.917
_cell_length_b 5.917
_cell_length_c 5.917
_cell_angle_alpha 137.73
_cell_angle_beta 137.73
_cell_angle_gamma 61.31
loop_
_symmetry_equiv_pos_as_xyz
'x,y,z'
loop_
_atom_site_label
_atom_site_type_symbol
_atom_site_fract_x
_atom_site_fract_y
_atom_site_fract_z
La1 La 0.000 0.000 0.000
Ga1 Ga 0.368 0.368 0.000
Ga2 Ga 0.632 0.632 0.000
Ni1 Ni 0.750 0.250 0.500
Ru1 Ru 0.250 0.750 0.500

***

- What is the total magnetic moment in the third record?
  0.000 μB per formula unit